Entry 1:
Cs2PmO3: relaxed, PBE.

```
Cs2PmO3
1.0
-1.8677 2.5760 7.3142
1.8677 -2.5760 7.3142
1.8677 2.5760 -7.3142
Cs Pm O
2 1 3
Cartesian
0.0000 0.0000 2.4629
0.0000 0.0000 12.1654
0.0000 0.0000 7.3142
1.8677 0.0000 0.0000
1.8677 0.0000 5.8547
0.0000 2.5760 1.4594
```

Calculated values
formation energy from raw total energies	-10.83	eV per formula unit

Entry 2:
KTa2SbTe: relaxed, PBE.

```
KTa2SbTe
1.0
5.1494 0.0000 0.0000
0.0000 5.1494 0.0000
0.0000 0.0000 6.0452
K Ta Sb Te
1 2 1 1
Cartesian
0.0000 0.0000 0.0000
0.0000 2.5747 3.0226
2.5747 0.0000 3.0226
2.5747 2.5747 0.0000
2.5747 2.5747 3.0226
```

Calculated values
formation energy from raw total energies	7.17	eV per formula unit

Entry 3:
Na5SrCl8: relaxed, PBE.

```
Na5SrCl8
1.0
0.0000 5.9024 5.9024
5.9024 0.0000 5.9024
5.9024 5.9024 0.0000
Na Sr Cl
5 1 8
Cartesian
0.0000 0.0000 0.0000
7.3897 4.4152 4.4152
4.4152 7.3897 4.4152
4.4152 4.4152 7.3897
7.3897 7.3897 7.3897
2.9512 2.9512 2.9512
4.5557 4.5557 4.5557
7.2492 7.2492 4.5557
7.2492 4.5557 7.2492
10.2333 7.4740 7.4740
4.5557 7.2492 7.2492
7.4740 10.2333 7.4740
7.4740 7.4740 10.2333
10.2333 10.2333 10.2333
```

Calculated values
formation energy from raw total energies	-23.61	eV per formula unit

Entry 4:
Be2Cu3Au2: relaxed, PBE.

```
Be2Cu3Au2
1.0
4.1167 -1.8128 0.0000
4.1167 1.8128 0.0000
-1.9835 0.0000 5.8925
Be Cu Au
2 3 2
Cartesian
0.9726 0.0000 1.1364
5.2774 0.0000 4.7562
1.9137 0.0000 3.3257
4.1167 0.0000 0.0000
4.3362 0.0000 2.5668
-0.4706 0.0000 4.5568
6.7205 0.0000 1.3357
```

Calculated values
energy relative to the elements	-0.70	eV per formula unit

Entry 5:
IrPt6Rh: relaxed, PBE.

```
IrPt6Rh
1.0
4.4057 -1.9737 0.0000
4.4057 1.9737 0.0000
-3.5450 0.0000 7.0489
Ir Pt Rh
1 6 1
Cartesian
0.0000 0.0000 0.0000
-0.9070 0.0000 6.1700
0.8771 0.0000 2.6400
1.7334 0.0000 5.2900
3.5331 0.0000 1.7589
4.3893 0.0000 4.4089
6.1735 0.0000 0.8789
-1.7725 0.0000 3.5245
```

Calculated values
energy relative to the elements	0.10	eV per formula unit
excess energy over the best structure of this formula in the dataset	0.000	eV/f.u.

Entry 6:
K8TaS6: relaxed, PBE.

```
K8TaS6
1.0
8.5660 0.0000 0.0000
0.0000 9.0975 0.0000
0.0000 0.0000 13.6499
K Ta S
16 2 12
Cartesian
0.0000 1.0547 0.0000
0.0000 1.6546 5.9597
1.6903 5.5554 1.6985
1.8815 8.2218 10.2008
1.9667 4.9361 11.6564
2.3163 4.1614 4.8314
2.4015 0.8757 3.3758
2.5927 3.5420 8.5234
4.2830 7.4429 12.7846
4.2830 8.0427 6.8250
5.9733 3.5420 8.5234
6.1645 0.8757 3.3758
6.2497 4.1614 4.8314
6.5994 4.9361 11.6564
6.6846 8.2218 10.2008
6.8758 5.5554 1.6985
0.0000 6.8607 6.0528
4.2830 2.2367 12.8777
0.0000 2.9043 2.9471
0.0000 4.6915 6.9847
0.0000 6.9815 12.9099
0.0000 8.3802 7.7960
1.8706 7.1944 4.7129
2.4124 1.9031 11.5379
4.2830 0.7173 0.9710
4.2830 2.1160 6.0849
4.2830 4.4060 0.1597
4.2830 6.1931 9.7721
6.1536 1.9031 11.5379
6.6954 7.1944 4.7129
```

Calculated values
formation energy from raw total energies	-15.12	eV per formula unit

Entry 7:
CdSi: relaxed, PBE.

```
CdSi
1.0
1.8534 1.0700 7.2769
-1.8534 1.0700 7.2769
0.0000 -2.1401 7.2769
Cd Si
2 2
Cartesian
0.0000 0.0000 2.5246
0.0000 0.0000 19.3059
0.0000 0.0000 7.7591
0.0000 0.0000 14.0715
```

Calculated values
formation energy from raw total energies	0.44	eV per formula unit

Entry 8:
PrSmY3: relaxed, PBE.

```
PrSmY3
1.0
8.7368 -1.7999 0.0000
8.7368 1.7999 0.0000
-4.3420 0.0000 10.6432
Pr Sm Y
2 2 6
Cartesian
2.4153 0.0000 3.6937
10.7163 0.0000 6.9495
-0.2330 0.0000 1.5399
13.3646 0.0000 9.1033
-1.0312 0.0000 7.7413
1.6146 0.0000 10.2826
5.0385 0.0000 6.0818
8.0930 0.0000 4.5614
11.5170 0.0000 0.3606
14.1628 0.0000 2.9019
```

Calculated values
energy relative to the elements	0.12	eV per formula unit
excess energy over the best structure of this formula in the dataset	0.057	eV/f.u.

Per-record Fermi-level density of states, states/eV per cell: 5.62, 3.41, 24.55, 2.11, 14.43, 10.47, 1.17, 16.16